A relaxed structure of YRhS2. Source: Alexandria via LeMat-Bulk, functional PBE.

Summary:
energy relative to the elements, uncorrected	-0.878	eV per atom
V	17.6	Å³ per atom
D(E_F)	2.6	states/eV/f.u.
space-group type	Fm-3m

The structure in POSCAR format:
```
YRhS2
1.0
0.0000 3.2749 3.2749
3.2749 0.0000 3.2749
3.2749 3.2749 0.0000
Y Rh S
1 1 2
Cartesian
0.0000 0.0000 0.0000
3.2749 3.2749 3.2749
1.6374 1.6374 1.6374
4.9123 4.9123 4.9123
```